Entry 1:
Zn5GaAu3: relaxed, PBE-GGA.

The structure belongs to space group C2/m (No. 12); the cell edges are 9.248, 7.844 and 9.867 Å and the angles 90.00°, 95.46° and 90.00°. The distinct sites, in fractional coordinates, are Zn at (0.000, 0.173, 0.000), Zn at (0.039, 0.000, 0.332), Zn at (0.212, 0.320, 0.639), Zn at (0.220, 0.000, 0.863), Ga at (0.018, 0.500, 0.249), Au at (0.000, 0.500, 0.000), Au at (0.000, 0.500, 0.500), Au at (0.214, 0.000, 0.592) and Au at (0.216, 0.000, 0.131).

The total DFT energy (no corrections) is -2.16 eV/atom. The density of states at the Fermi level comes out at 2.87 states/eV/f.u.

---

Entry 2:
Zn4GaAu3: relaxed, PBE-GGA.

The structure belongs to space group P4/mmm (No. 123); the cell edges are 3.298, 3.298 and 11.965 Å and the angles 90.00°, 90.00° and 90.00°. The distinct sites, in fractional coordinates, are Zn at (0.000, 0.000, 0.124), Zn at (0.000, 0.000, 0.373), Ga at (0.500, 0.500, 0.000), Au at (0.500, 0.500, 0.245) and Au at (0.500, 0.500, 0.500).

The total DFT energy (no corrections) is -2.39 eV/atom. The density of states at the Fermi level comes out at 1.32 states/eV/f.u.

---

Entry 3:
Zn3GaAu: relaxed, PBE-GGA.

The structure belongs to space group Pm-3m (No. 221); the cell edges are 4.919, 4.919 and 4.919 Å and the angles 90.00°, 90.00° and 90.00°. The distinct sites, in fractional coordinates, are Zn at (0.000, 0.000, 0.500), Ga at (0.500, 0.500, 0.500) and Au at (0.000, 0.000, 0.000).

For the energy above the most stable polymorph in this dataset, the calculation gives 0.2585 eV per atom. The density of states at the Fermi level comes out at 1.65 states/eV/f.u.

---

Entry 4:
Zn5Ga4Au: relaxed, PBE-GGA.

The structure belongs to space group I4 (No. 79); the cell edges are 8.486, 8.486 and 5.017 Å and the angles 90.00°, 90.00° and 90.00°. The distinct sites, in fractional coordinates, are Zn at (0.000, 0.000, 0.000), Zn at (0.157, 0.764, 0.268), Ga at (0.041, 0.668, 0.767) and Au at (0.000, 0.000, 0.505).

The total DFT energy (no corrections) is -2.14 eV/atom. The density of states at the Fermi level comes out at 3.25 states/eV/f.u.

---

Entry 5:
Zn3Ga12Au5: relaxed, PBE-GGA.

The structure belongs to space group Ia-3d (No. 230); the cell edges are 15.133, 15.133 and 15.133 Å and the angles 90.00°, 90.00° and 90.00°. The distinct sites, in fractional coordinates, are Zn at (0.000, 0.250, 0.125), Ga at (0.015, 0.082, 0.652), Au at (0.000, 0.000, 0.000) and Au at (0.000, 0.250, 0.375).

The total DFT energy (no corrections) is -2.82 eV/atom. The density of states at the Fermi level comes out at 7.03 states/eV/f.u.

---

Entry 6:
Zn2GaAu: relaxed, PBE-GGA.

The structure belongs to space group Amm2 (No. 38); the cell edges are 2.758, 6.179 and 16.558 Å and the angles 90.00°, 90.00° and 90.00°. The distinct sites, in fractional coordinates, are Zn at (0.000, 0.000, 0.000), Zn at (0.000, 0.231, 0.740), Zn at (0.500, 0.000, 0.624), Ga at (0.500, 0.226, 0.878), Au at (0.000, 0.000, 0.484) and Au at (0.500, 0.000, 0.138).

The total DFT energy (no corrections) is -2.27 eV/atom. The density of states at the Fermi level comes out at 0.82 states/eV/f.u.

---

Entry 7:
Zn2Ga2Au5: relaxed, PBE-GGA.

The structure belongs to space group Ima2 (No. 46); the cell edges are 15.596, 7.088 and 5.987 Å and the angles 90.00°, 90.00° and 90.00°. The distinct sites, in fractional coordinates, are Zn at (0.150, 0.046, 0.000), Ga at (0.000, 0.000, 0.727), Ga at (0.250, 0.579, 0.137), Au at (0.056, 0.168, 0.348), Au at (0.131, 0.707, 0.832) and Au at (0.250, 0.185, 0.327).

For the energy above the most stable polymorph in this dataset, the calculation gives 0.0065 eV per atom. The density of states at the Fermi level comes out at 2.97 states/eV/f.u.

---

Entry 8:
Zn2GaAu2: relaxed, PBE-GGA.

The structure belongs to space group Cmc2_1 (No. 36); the cell edges are 4.342, 14.006 and 5.719 Å and the angles 90.00°, 90.00° and 90.00°. The distinct sites, in fractional coordinates, are Zn at (0.000, 0.046, 0.000), Zn at (0.000, 0.160, 0.379), Ga at (0.000, 0.361, 0.242), Au at (0.000, 0.231, 0.848) and Au at (0.000, 0.452, 0.822).

For the energy above the most stable polymorph in this dataset, the calculation gives 0.0093 eV per atom. The density of states at the Fermi level comes out at 1.17 states/eV/f.u.